# AcNd4ErTm2

Crystalline AcNd4ErTm2 at its relaxed geometry (PBE, Alexandria via LeMat-Bulk).

Calculated values
- E_form (meV per atom) = 33
- total magnetic moment (μB/f.u.) = 0.00
- electronic total energy (eV/atom) = -4.5530

a b c (Å): 10.140 7.353 7.350
angles (deg): 90.00 90.06 90.00
Space group C2/m (No. 12)
One atom of each set of equivalent atoms:
1 Ac 0.000 0.000 0.000
2 Nd 0.250 0.250 0.256
3 Er 0.000 0.500 0.500
4 Tm 0.000 0.000 0.500
5 Tm 0.000 0.500 0.000